DFT (PBE-GGA) results for a geometry-optimized Ac2Pm3Ho7 structure.

Results
The formation enthalpy at 0 K is 0.117 eV per atom.

a = 3.604 Å, b = 6.434 Å, c = 18.271 Å
α = 76.04°, β = 90.00°, γ = 90.00°
Atoms (fractional coordinates):
Ho  0.000  0.563  0.159
Ho  0.500  0.243  0.499
Pm  0.000  0.115  0.341
Ho  0.500  0.067  0.161
Ho  0.000  0.000  0.000
Ho  0.500  0.933  0.839
Pm  0.500  0.500  0.000
Ac  0.500  0.377  0.676
Ho  0.500  0.757  0.501
Pm  0.000  0.885  0.659
Ac  0.500  0.623  0.324
Ho  0.000  0.437  0.841

DFT (PBE-GGA) results for a geometry-optimized BaMo6Se8 structure.

Results
For the uncorrected formation energy, the calculation gives -0.7333 eV/atom.

a = 6.988 Å, b = 6.988 Å, c = 6.988 Å
α = 88.37°, β = 88.37°, γ = 88.37°
Atoms (fractional coordinates):
Se  0.120  0.740  0.392
Ba  0.000  0.000  0.000
Mo  0.754  0.579  0.436
Mo  0.246  0.421  0.564
Mo  0.564  0.246  0.421
Se  0.749  0.749  0.749
Se  0.880  0.260  0.608
Se  0.740  0.392  0.120
Se  0.260  0.608  0.880
Se  0.251  0.251  0.251
Se  0.608  0.880  0.260
Mo  0.436  0.754  0.579
Se  0.392  0.120  0.740
Mo  0.421  0.564  0.246
Mo  0.579  0.436  0.754

DFT (PBE-GGA) results for a geometry-optimized AlAgPb structure.

Results
The formation enthalpy at 0 K is 0.158 eV per atom.

a = 4.599 Å, b = 4.599 Å, c = 3.819 Å
α = 90.00°, β = 90.00°, γ = 120.00°
Atoms (fractional coordinates):
Al  0.667  0.333  0.166
Ag  0.000  0.000  0.167
Pb  0.333  0.667  0.667

DFT (PBE-GGA) results for a geometry-optimized CaCu2As structure.

Results
The formation enthalpy at 0 K is -0.334 eV per atom.

a = 4.154 Å, b = 5.590 Å, c = 5.609 Å
α = 136.24°, β = 111.73°, γ = 90.01°
Atoms (fractional coordinates):
Ca  0.749  0.250  0.498
Cu  0.254  0.746  0.509
Cu  0.953  0.048  0.907
As  0.543  0.456  0.085

DFT (PBE-GGA) results for a geometry-optimized Pr2YSc structure.

Results
The value obtained for the offset from the most stable computed form is 0 meV/atom. The formation enthalpy at 0 K is 0.039 eV per atom.

a = 3.659 Å, b = 3.659 Å, c = 9.572 Å
α = 90.00°, β = 90.00°, γ = 90.00°
Atoms (fractional coordinates):
Y  0.500  0.500  0.500
Sc  0.500  0.500  0.000
Pr  0.000  0.000  0.237
Pr  0.000  0.000  0.763

DFT (PBE-GGA) results for a geometry-optimized SrLiSnAu2 structure.

Results
The formation enthalpy at 0 K is -0.634 eV per atom.

a = 4.367 Å, b = 4.367 Å, c = 6.988 Å
α = 108.21°, β = 108.21°, γ = 90.00°
Atoms (fractional coordinates):
Au  0.389  0.389  0.778
Sn  0.250  0.750  0.500
Li  0.750  0.250  0.500
Sr  0.000  0.000  0.000
Au  0.611  0.611  0.222

DFT (PBE-GGA) results for a geometry-optimized MgCdRh2 structure.

Results
The formation enthalpy at 0 K is -0.248 eV per atom.

a = 5.307 Å, b = 5.307 Å, c = 4.776 Å
α = 67.32°, β = 67.32°, γ = 32.01°
Atoms (fractional coordinates):
Rh  0.264  0.264  0.315
Cd  0.512  0.512  0.425
Mg  0.737  0.737  0.822
Rh  0.986  0.986  0.937

DFT (PBE-GGA) results for a geometry-optimized SrTeAu structure.

Results
The value obtained for the offset from the most stable computed form is 168 meV/atom. For the uncorrected formation energy, the calculation gives -0.8072 eV/atom.

a = 5.128 Å, b = 5.128 Å, c = 5.128 Å
α = 60.00°, β = 60.00°, γ = 60.00°
Atoms (fractional coordinates):
Te  0.500  0.500  0.500
Au  0.750  0.750  0.750
Sr  0.000  0.000  0.000

DFT (PBE-GGA) results for a geometry-optimized LiCrAs structure.

Results
The formation enthalpy at 0 K is 0.217 eV per atom.

a = 2.936 Å, b = 2.936 Å, c = 6.236 Å
α = 90.00°, β = 90.00°, γ = 120.00°
Atoms (fractional coordinates):
Li  0.333  0.667  0.672
As  0.000  0.000  0.029
Cr  0.667  0.333  0.300

DFT (PBE-GGA) results for a geometry-optimized BeTl2Os structure.

Results
The value obtained for the offset from the most stable computed form is 585 meV/atom. The formation enthalpy at 0 K is 1.009 eV per atom.

a = 4.909 Å, b = 4.909 Å, c = 4.824 Å
α = 71.83°, β = 71.83°, γ = 41.39°
Atoms (fractional coordinates):
Os  0.250  0.250  0.250
Tl  0.486  0.486  0.512
Tl  0.014  0.014  0.988
Be  0.750  0.750  0.750

DFT (PBE-GGA) results for a geometry-optimized PrTlTe2 structure.

Results
For the uncorrected formation energy, the calculation gives -1.0553 eV/atom.

a = 4.581 Å, b = 4.581 Å, c = 8.772 Å
α = 74.86°, β = 74.86°, γ = 60.00°
Atoms (fractional coordinates):
Pr  0.667  0.667  0.998
Te  0.074  0.074  0.779
Te  0.261  0.261  0.217
Tl  0.498  0.498  0.507

DFT (PBE-GGA) results for a geometry-optimized Tm3As2S structure.

Results
The value obtained for the offset from the most stable computed form is 267 meV/atom. For the uncorrected formation energy, the calculation gives -1.4211 eV/atom.

a = 5.600 Å, b = 8.256 Å, c = 8.256 Å
α = 119.82°, β = 90.00°, γ = 90.00°
Atoms (fractional coordinates):
Tm  0.993  0.506  0.833
Tm  0.993  0.161  0.161
As  0.993  0.496  0.167
Tm  0.493  0.839  0.839
Tm  0.493  0.494  0.167
As  0.493  0.833  0.504
Tm  0.993  0.833  0.506
As  0.493  0.504  0.833
Tm  0.493  0.167  0.494
S  0.993  0.838  0.838
S  0.493  0.162  0.162
As  0.993  0.167  0.496

DFT (PBE-GGA) results for a geometry-optimized NaZnGa2Ir structure.

Results
The formation enthalpy at 0 K is -0.251 eV per atom.

a = 4.792 Å, b = 4.792 Å, c = 4.947 Å
α = 90.00°, β = 90.00°, γ = 90.00°
Atoms (fractional coordinates):
Ir  0.000  0.000  0.000
Na  0.500  0.500  0.500
Ga  0.500  0.000  0.000
Zn  0.000  0.000  0.500
Ga  0.000  0.500  0.000

DFT (PBE-GGA) results for a geometry-optimized LiCoSb2 structure.

Results
The value obtained for the offset from the most stable computed form is 198 meV/atom. For the uncorrected formation energy, the calculation gives 0.0448 eV/atom.

a = 3.496 Å, b = 3.838 Å, c = 5.439 Å
α = 90.00°, β = 90.00°, γ = 90.00°
Atoms (fractional coordinates):
Li  0.500  0.500  0.787
Sb  0.500  0.500  0.315
Sb  0.000  0.000  0.947
Co  0.000  0.000  0.451

DFT (PBE-GGA) results for a geometry-optimized CsLaPa2O7 structure.

Results
For the uncorrected formation energy, the calculation gives -3.2553 eV/atom.

a = 4.322 Å, b = 4.322 Å, c = 11.775 Å
α = 90.00°, β = 90.00°, γ = 90.00°
Atoms (fractional coordinates):
O  0.000  0.500  0.140
Cs  0.000  0.000  0.500
O  0.000  0.500  0.860
O  0.500  0.500  0.355
O  0.500  0.500  0.000
O  0.500  0.000  0.860
Pa  0.500  0.500  0.189
Pa  0.500  0.500  0.811
O  0.500  0.500  0.645
O  0.500  0.000  0.140
La  0.000  0.000  0.000

DFT (PBE-GGA) results for a geometry-optimized Ga2SnB structure.

Results
The value obtained for the offset from the most stable computed form is 41 meV/atom. The formation enthalpy at 0 K is 0.298 eV per atom.

a = 7.843 Å, b = 3.397 Å, c = 5.870 Å
α = 90.00°, β = 104.87°, γ = 90.00°
Atoms (fractional coordinates):
Sn  0.000  0.631  0.000
Ga  0.635  0.126  0.378
Sn  0.000  0.131  0.500
Ga  0.635  0.626  0.878
B  0.500  0.126  0.000
Ga  0.365  0.626  0.122
B  0.500  0.626  0.500
Ga  0.365  0.126  0.622

DFT (PBE-GGA) results for a geometry-optimized Mn2SiPb structure.

Results
The value obtained for the offset from the most stable computed form is 254 meV/atom. For the uncorrected formation energy, the calculation gives 0.4636 eV/atom.

a = 4.849 Å, b = 4.849 Å, c = 4.849 Å
α = 128.52°, β = 128.52°, γ = 75.79°
Atoms (fractional coordinates):
Si  0.750  0.250  0.500
Pb  0.250  0.750  0.500
Mn  0.000  0.000  0.000
Mn  0.500  0.500  0.000

DFT (PBE-GGA) results for a geometry-optimized La3Tb2PuN6 structure.

Results
For the uncorrected formation energy, the calculation gives -1.4015 eV/atom.

a = 6.205 Å, b = 6.205 Å, c = 6.296 Å
α = 99.50°, β = 99.50°, γ = 119.90°
Atoms (fractional coordinates):
N  0.392  0.074  0.224
Pu  0.000  0.000  0.000
N  0.074  0.392  0.224
Tb  0.666  0.334  0.000
Tb  0.334  0.666  0.000
La  0.500  0.500  0.500
N  0.608  0.926  0.776
N  0.756  0.756  0.229
N  0.244  0.244  0.771
La  0.167  0.833  0.500
N  0.926  0.608  0.776
La  0.833  0.167  0.500

DFT (PBE-GGA) results for a geometry-optimized SrPmTl structure.

Results
The value obtained for the offset from the most stable computed form is 0 meV/atom. The formation enthalpy at 0 K is -0.261 eV per atom.

a = 5.095 Å, b = 5.095 Å, c = 8.467 Å
α = 90.00°, β = 90.00°, γ = 90.00°
Atoms (fractional coordinates):
Tl  0.814  0.866  0.159
Tl  0.314  0.366  0.680
Pm  0.314  0.866  0.920
Sr  0.814  0.866  0.558
Pm  0.814  0.366  0.920
Sr  0.314  0.367  0.281

DFT (PBE-GGA) results for a geometry-optimized TbErZnRh structure.

Results
The value obtained for the offset from the most stable computed form is 0 meV/atom. The formation enthalpy at 0 K is -0.622 eV per atom.

a = 3.485 Å, b = 3.485 Å, c = 7.042 Å
α = 90.00°, β = 90.00°, γ = 90.00°
Atoms (fractional coordinates):
Rh  0.500  0.500  0.113
Zn  0.500  0.500  0.601
Er  0.000  0.000  0.341
Tb  0.000  0.000  0.873